Below is a relaxed Na2LaInMo crystal, with properties calculated at the PBE level.

The value obtained for the raw total energy is -10.84 eV for the cell shown.

Lattice parameters (Å, degrees): 5.5766 5.7454 5.5766 90.00 90.00 90.00
Last column: nearest neighbours and their distance in Å.
Positions (direct):
Na  0.0000  0.0000  0.5000  2 La 2.79
Na  0.5000  0.0000  0.0000  2 La 2.79
Mo  0.5000  0.5000  0.5000  4 In 3.94, 8 Na 4.00
In  0.0000  0.5000  0.0000  2 La 2.87
La  0.0000  0.0000  0.0000  4 Na 2.79, 2 In 2.87